Here is crystalline Hf4MoRh3 at its relaxed geometry from Alexandria. Energies are from GGA-PBE.

Cell and atoms, written as extended XYZ:
```
8
Lattice="-0.505 -1.796 2.776 4.534 -0.248 0.665 -0.301 7.714 4.935" Properties=species:S:1:pos:R:3 pbc="T T T"
Rh -0.330 1.086 2.657
Rh 1.864 2.835 4.188
Rh -0.476 4.832 5.054
Mo 2.015 -1.022 1.720
Hf -0.150 3.857 2.468
Hf 2.041 5.685 4.049
Hf 0.000 0.000 0.000
Hf 2.193 1.780 1.551
```

Properties
**Calculated total energy**: -9.8233 eV/atom

Here is crystalline Hf3MoRh at its relaxed geometry from Alexandria. Energies are from GGA-PBE.

Cell and atoms, written as extended XYZ:
```
5
Lattice="4.901 0.000 0.000 0.000 4.901 0.000 0.000 0.000 4.901" Properties=species:S:1:pos:R:3 pbc="T T T"
Rh 0.000 0.000 0.000
Mo 2.450 2.450 2.450
Hf 0.000 2.450 0.000
Hf 0.000 0.000 2.450
Hf 2.450 0.000 0.000
```

Properties
**Calculated total energy**: -8.9193 eV/atom
**Distance to the lowest polymorph of the same formula**: 0 meV per atom

Here is crystalline Hf2MoRh at its relaxed geometry from Alexandria. Energies are from GGA-PBE.

Cell and atoms, written as extended XYZ:
```
4
Lattice="-2.611 1.236 1.579 0.931 -1.549 2.751 3.553 5.260 1.759" Properties=species:S:1:pos:R:3 pbc="T T T"
Rh 0.937 2.473 3.045
Mo -0.840 -0.157 2.165
Hf 2.669 3.951 1.321
Hf 0.884 1.309 0.438
```

Properties
**Calculated total energy**: -10.0745 eV/atom
**Distance to the lowest polymorph of the same formula**: 0 meV per atom

Here is crystalline Hf4MoRh at its relaxed geometry from Alexandria. Energies are from GGA-PBE.

Cell and atoms, written as extended XYZ:
```
6
Lattice="-4.105 -0.521 -1.889 -1.653 -1.435 3.988 -1.488 6.035 1.561" Properties=species:S:1:pos:R:3 pbc="T T T"
Hf -4.073 -0.198 3.416
Hf -4.822 2.827 4.200
Hf -1.943 3.805 3.150
Hf -1.194 0.780 2.366
Mo -4.365 5.049 2.594
Rh -2.395 1.575 4.752
```

Properties
**Calculated total energy**: -9.7082 eV/atom
**Distance to the lowest polymorph of the same formula**: 264 meV per atom

Here is crystalline Hf2MoRh at its relaxed geometry from Alexandria. Energies are from GGA-PBE.

Cell and atoms, written as extended XYZ:
```
8
Lattice="7.222 0.000 0.000 0.000 7.222 0.000 3.611 3.611 2.944" Properties=species:S:1:pos:R:3 pbc="T T T"
Rh 0.000 0.000 0.000
Rh 7.222 3.611 1.472
Mo 3.611 3.611 0.000
Mo 3.611 7.222 1.472
Hf 5.548 1.805 0.736
Hf 1.674 5.416 0.736
Hf 5.416 5.284 2.208
Hf 9.027 9.159 2.208
```

Properties
**Calculated total energy**: -9.3794 eV/atom
**Distance to the lowest polymorph of the same formula**: 695 meV per atom

Here is crystalline Hf2MoRh at its relaxed geometry from Alexandria. Energies are from GGA-PBE.

Cell and atoms, written as extended XYZ:
```
4
Lattice="-0.970 1.178 4.381 -3.348 -2.226 2.314 1.097 -2.874 3.472" Properties=species:S:1:pos:R:3 pbc="T T T"
Rh -1.610 -1.961 5.083
Mo 0.000 0.000 0.000
Hf -0.805 -0.981 2.542
Hf -2.416 -2.942 7.625
```

Properties
**Calculated total energy**: -10.0534 eV/atom
**Distance to the lowest polymorph of the same formula**: 21 meV per atom

no.,magnetic moment (μB per cell),calculated volume (A^3/atom)
1,0.00,17.580
2,1.56,23.541
3,0.00,17.843
4,0.00,22.103
5,0.00,19.191
6,0.00,17.647